# 1
DFT (PBE-GGA) results for ReRhAu after structural relaxation.

Lattice parameters (Å, degrees): 4.479 4.479 2.686 90.00 90.00 120.00
Positions (direct):
1 Re 0.667 0.333 0.333
2 Rh 0.333 0.667 0.835
3 Au 0.000 0.000 0.832

Offset from the most stable computed form   6.45 kcal/mol of atoms
E_form   39.0 kJ per mole of atoms
Symmetry   P-6m2 (187)

# 2
DFT (PBE-GGA) results for ReRh2Au after structural relaxation.

Lattice parameters (Å, degrees): 2.758 2.758 7.992 90.00 90.00 90.00
Positions (direct):
1 Re 0.500 0.500 0.765
2 Rh 0.000 0.000 0.994
3 Rh 0.500 0.500 0.241
4 Au 0.000 0.000 0.501

Offset from the most stable computed form   5.29 kcal/mol of atoms
E_form   16.2 kJ per mole of atoms
Symmetry   P4mm (99)

# 3
DFT (PBE-GGA) results for ReRh2Au after structural relaxation.

Lattice parameters (Å, degrees): 4.433 4.433 4.433 60.00 60.00 60.00
Positions (direct):
1 Re 0.000 0.000 0.000
2 Au 0.500 0.500 0.500
3 Rh 0.250 0.250 0.250
4 Rh 0.750 0.750 0.750

Offset from the most stable computed form   10.42 kcal/mol of atoms
E_form   37.6 kJ per mole of atoms
Symmetry   Fm-3m (225)

Among the records above, which one has the lowest E_form? number 2